# K2MnCo

K2MnCo after structural relaxation (PBE, Alexandria via LeMat-Bulk).

Energy of formation from the pure elements   1.272 eV per atom

POSCAR file:
```
K2MnCo
1.0
11.7884 -0.0215 -0.0126
11.3638 3.1354 -0.0126
11.3638 1.5284 2.7377
Mn K Co
1 2 1
Cartesian
8.6290 1.1606 0.6781 Mn
17.0610 2.2947 1.3408 K
0.1970 0.0265 0.0155 K
25.8870 3.4817 2.0344 Co
```